A plane-wave DFT calculation with PBE was carried out for crystalline LiAg2HgF6 at its relaxed geometry.

Results
Total magnetization (μB/f.u.): 0.867
Energy relative to the elements, uncorrected (eV/atom): -1.521
Crystal system: monoclinic

a b c (Å): 5.513 5.938 8.645
angles (deg): 90.00 89.38 90.00
Each line ends with the local moment (μB).
Sites, in units of the cell vectors:
Ag 0.477 0.426 0.274  0.27
Ag 0.977 0.074 0.774  0.27
Ag 0.023 0.926 0.226  0.27
Ag 0.523 0.574 0.726  0.27
F 0.341 0.906 0.771  0.09
F 0.710 0.307 0.568  0.03
F 0.841 0.594 0.271  0.09
F 0.320 0.723 0.093  0.04
F 0.790 0.807 0.932  0.03
F 0.159 0.406 0.729  0.09
F 0.680 0.277 0.907  0.04
F 0.180 0.223 0.407  0.04
F 0.210 0.193 0.068  0.03
F 0.820 0.777 0.593  0.04
F 0.659 0.094 0.229  0.09
F 0.290 0.693 0.432  0.03
Li 0.500 0.000 0.000  0.00
Li 0.000 0.500 0.500  0.00
Hg 0.500 0.000 0.500  0.00
Hg 0.000 0.500 0.000  0.00

***

A plane-wave DFT calculation with PBE was carried out for crystalline LiAgHgF6 at its relaxed geometry.

Results
Total magnetization (μB/f.u.): 2.015
Energy relative to the elements, uncorrected (eV/atom): -1.557
Crystal system: tetragonal

a b c (Å): 5.035 5.035 10.222
angles (deg): 90.00 90.00 90.00
Each line ends with the local moment (μB).
Sites, in units of the cell vectors:
F 0.799 0.201 0.821  0.17
F 0.298 0.298 0.678  0.18
F 0.180 0.820 0.501  0.17
F 0.299 0.299 0.321  0.17
F 0.702 0.702 0.678  0.18
F 0.820 0.180 0.501  0.17
F 0.798 0.202 0.178  0.18
F 0.701 0.701 0.321  0.17
F 0.680 0.680 0.001  0.17
F 0.202 0.798 0.178  0.18
F 0.320 0.320 0.001  0.17
F 0.201 0.799 0.821  0.17
Hg 0.500 0.500 0.499  0.06
Hg 0.000 0.000 0.999  0.06
Ag 0.000 0.000 0.333  0.86
Ag 0.500 0.500 0.833  0.86
Li 0.500 0.500 0.167  0.00
Li 0.000 0.000 0.667  0.00

***

A plane-wave DFT calculation with PBE was carried out for crystalline LiAgHg2F8 at its relaxed geometry.

Results
Total magnetization (μB/f.u.): 0.000
Energy relative to the elements, uncorrected (eV/atom): -1.516
Crystal system: triclinic

a b c (Å): 4.205 5.391 7.791
angles (deg): 84.97 91.72 95.54
Sites, in units of the cell vectors:
F 0.361 0.267 0.495
F 0.091 0.708 0.231
F 0.160 0.844 0.721
F 0.643 0.761 0.962
F 0.639 0.733 0.505
F 0.357 0.239 0.038
F 0.840 0.156 0.279
F 0.909 0.292 0.769
Li 0.000 0.000 0.000
Ag 0.000 0.000 0.500
Hg 0.438 0.471 0.774
Hg 0.562 0.529 0.226

***

A plane-wave DFT calculation with PBE was carried out for crystalline LiAgHgF4 at its relaxed geometry.

Results
Total magnetization (μB/f.u.): 0.000
Energy relative to the elements, uncorrected (eV/atom): -1.696
Crystal system: orthorhombic

a b c (Å): 6.148 6.663 7.208
angles (deg): 122.74 90.00 117.48
Sites, in units of the cell vectors:
F 0.762 0.041 0.270
F 0.278 0.041 0.270
F 0.254 0.508 0.700
F 0.238 0.959 0.730
F 0.746 0.492 0.692
F 0.746 0.492 0.300
F 0.254 0.508 0.308
F 0.722 0.959 0.730
Hg 0.500 0.000 0.000
Hg 0.500 0.000 0.500
Ag 0.181 0.361 0.931
Ag 0.819 0.639 0.069
Li 0.500 0.500 0.500
Li 0.000 0.500 0.500

***

A plane-wave DFT calculation with PBE was carried out for crystalline Li2AgHgF6 at its relaxed geometry.

Results
Total magnetization (μB/f.u.): 1.005
Energy relative to the elements, uncorrected (eV/atom): -1.913
Crystal system: triclinic

a b c (Å): 5.718 5.528 5.731
angles (deg): 64.14 64.83 59.02
Each line ends with the local moment (μB).
Sites, in units of the cell vectors:
F 0.880 0.615 0.286  0.10
F 0.588 0.242 0.321  0.09
F 0.057 0.400 0.785  0.11
F 0.261 0.889 0.186  0.01
F 0.372 0.717 0.718  0.01
F 0.766 0.073 0.793  0.10
Li 0.523 0.583 0.398  0.00
Li 0.078 0.009 0.897  0.00
Hg 0.320 0.312 0.067  0.02
Ag 0.818 0.822 0.564  0.54

***

A plane-wave DFT calculation with PBE was carried out for crystalline LiAgHgF5 at its relaxed geometry.

Results
Total magnetization (μB/f.u.): 0.000
Energy relative to the elements, uncorrected (eV/atom): -1.619
Crystal system: monoclinic

a b c (Å): 5.668 5.668 8.769
angles (deg): 112.26 112.26 90.39
Sites, in units of the cell vectors:
F 0.017 0.983 0.250
F 0.728 0.222 0.477
F 0.722 0.693 0.358
F 0.307 0.278 0.142
F 0.778 0.272 0.023
F 0.272 0.778 0.523
F 0.222 0.728 0.977
F 0.983 0.017 0.750
F 0.693 0.722 0.858
F 0.278 0.307 0.642
Ag 0.259 0.741 0.750
Ag 0.741 0.259 0.250
Hg 0.296 0.704 0.250
Hg 0.704 0.296 0.750
Li 0.000 0.000 0.000
Li 0.000 0.000 0.500